[1]
CuTc4Hg | PBE | optimized geometry

- SG = No. 216
- DFT formation energy (meV/atom) = 646.8

Cell: 5.1696 5.1696 5.1696 Å, 60.00 60.00 60.00°
Sites, in units of the cell vectors:
Cu: 0.0000 0.0000 0.0000
Tc: 0.1237 0.6254 0.6254
Tc: 0.6254 0.1237 0.6254
Tc: 0.6254 0.6254 0.1237
Tc: 0.6254 0.6254 0.6254
Hg: 0.2500 0.2500 0.2500


[2]
In2GaI4 | PBE | optimized geometry

- SG = No. 11
- ΔE_f (raw) (eV per atom) = -0.37

Cell: 7.9132 8.2894 9.5523 Å, 90.00 107.72 90.00°
Sites, in units of the cell vectors:
In: 0.2140 0.2500 0.0516
In: 0.2506 0.2500 0.5652
In: 0.7494 0.7500 0.4348
In: 0.7860 0.7500 0.9484
Ga: 0.2335 0.7500 0.8050
Ga: 0.7665 0.2500 0.1950
I: 0.0026 0.5147 0.2646
I: 0.0026 0.9853 0.2646
I: 0.4485 0.7500 0.1018
I: 0.4494 0.7500 0.6216
I: 0.5506 0.2500 0.3784
I: 0.5515 0.2500 0.8982
I: 0.9974 0.0147 0.7354
I: 0.9974 0.4853 0.7354


[3]
Ce2Zn5In | PBE | optimized geometry

- SG = No. 63
- DFT formation energy (meV/atom) = -294.2

Cell: 8.5468 8.5468 9.0468 Å, 90.00 90.00 149.65°
Sites, in units of the cell vectors:
Ce: 0.0000 0.0000 0.0000
Ce: 0.0000 0.0000 0.5000
Ce: 0.2080 0.7920 0.7500
Ce: 0.7920 0.2080 0.2500
Zn: 0.1858 0.8142 0.1078
Zn: 0.1858 0.8142 0.3922
Zn: 0.3435 0.6565 0.0173
Zn: 0.3435 0.6565 0.4827
Zn: 0.3965 0.6035 0.7500
Zn: 0.6035 0.3965 0.2500
Zn: 0.6565 0.3435 0.5173
Zn: 0.6565 0.3435 0.9827
Zn: 0.8142 0.1858 0.6078
Zn: 0.8142 0.1858 0.8922
In: 0.4428 0.5572 0.2500
In: 0.5572 0.4428 0.7500


[4]
Pm2SeO5 | PBE | optimized geometry

- SG = No. 14
- ΔE_f (raw) (eV per atom) = -2.42

Cell: 10.0861 7.1595 6.6418 Å, 90.00 101.95 90.00°
Sites, in units of the cell vectors:
Pm: 0.0343 0.1204 0.2504
Pm: 0.0343 0.3796 0.7504
Pm: 0.3674 0.1235 0.0802
Pm: 0.3674 0.3765 0.5802
Pm: 0.6326 0.6235 0.4198
Pm: 0.6326 0.8765 0.9198
Pm: 0.9657 0.6204 0.2496
Pm: 0.9657 0.8796 0.7496
Se: 0.2850 0.5930 0.0912
Se: 0.2850 0.9070 0.5912
Se: 0.7150 0.0930 0.4088
Se: 0.7150 0.4070 0.9088
O: 0.0866 0.6505 0.9524
O: 0.0866 0.8495 0.4524
O: 0.1304 0.1026 0.9507
O: 0.1304 0.3974 0.4507
O: 0.2832 0.0801 0.3917
O: 0.2832 0.4199 0.8917
O: 0.3686 0.7317 0.4966
O: 0.3686 0.7683 0.9966
O: 0.4290 0.0663 0.7592
O: 0.4290 0.4337 0.2592
O: 0.5710 0.5663 0.7408
O: 0.5710 0.9337 0.2408
O: 0.6314 0.2317 0.0034
O: 0.6314 0.2683 0.5034
O: 0.7168 0.5801 0.1083
O: 0.7168 0.9199 0.6083
O: 0.8696 0.6026 0.5493
O: 0.8696 0.8974 0.0493
O: 0.9134 0.1505 0.5476
O: 0.9134 0.3495 0.0476


[5]
BaCdSeBr2 | PBE | optimized geometry

- SG = No. 123
- ΔE_f (raw) (eV per atom) = -1.22

Cell: 5.4894 5.4894 5.4033 Å, 90.00 90.00 90.00°
Sites, in units of the cell vectors:
Ba: 0.0000 0.0000 0.0000
Cd: 0.5000 0.5000 0.5000
Se: 0.5000 0.5000 0.0000
Br: 0.0000 0.5000 0.5000
Br: 0.5000 0.0000 0.5000


[6]
MoPb2Cl | PBE | optimized geometry

- SG = No. 123
- ΔE_f (raw) (eV per atom) = 0.33

Cell: 5.4607 5.4607 3.0800 Å, 90.00 90.00 90.00°
Sites, in units of the cell vectors:
Mo: 0.0000 0.0000 0.0000
Pb: 0.0000 0.5000 0.5000
Pb: 0.5000 0.0000 0.5000
Cl: 0.5000 0.5000 0.0000


[7]
Ni2OsRu2 | PBE | optimized geometry

- SG = No. 127
- DFT formation energy (meV/atom) = 350.1

Cell: 6.7887 6.7887 2.8074 Å, 90.00 90.00 90.00°
Sites, in units of the cell vectors:
Ni: 0.1246 0.3754 0.0000
Ni: 0.3754 0.8754 0.0000
Ni: 0.6246 0.1246 0.0000
Ni: 0.8754 0.6246 0.0000
Os: 0.0000 0.0000 0.0000
Os: 0.5000 0.5000 0.0000
Ru: 0.1732 0.6732 0.5000
Ru: 0.3268 0.1732 0.5000
Ru: 0.6732 0.8268 0.5000
Ru: 0.8268 0.3268 0.5000


[8]
PuTl2InI6 | PBE | optimized geometry

- SG = No. 14
- ΔE_f (raw) (eV per atom) = -0.78

Cell: 8.2073 9.0981 14.0527 Å, 90.00 121.59 90.00°
Sites, in units of the cell vectors:
Pu: 0.0000 0.0000 0.0000
Pu: 0.0000 0.5000 0.5000
Tl: 0.3110 0.1001 0.7707
Tl: 0.3110 0.3999 0.2707
Tl: 0.6890 0.6001 0.7293
Tl: 0.6890 0.8999 0.2293
In: 0.5000 0.0000 0.5000
In: 0.5000 0.5000 0.0000
I: 0.0917 0.0518 0.2414
I: 0.0917 0.4482 0.7413
I: 0.2336 0.7077 0.0778
I: 0.2336 0.7923 0.5778
I: 0.3650 0.1712 0.0524
I: 0.3650 0.3288 0.5524
I: 0.6350 0.6712 0.4476
I: 0.6350 0.8288 0.9476
I: 0.7664 0.2077 0.4222
I: 0.7664 0.2923 0.9222
I: 0.9083 0.5518 0.2586
I: 0.9083 0.9482 0.7587


[9]
HfUGe2 | PBE | optimized geometry

- SG = No. 166
- DFT formation energy (meV/atom) = 113.0

Cell: 10.8150 10.8150 10.8150 Å, 16.02 16.02 16.02°
Sites, in units of the cell vectors:
Hf: 0.0000 0.0000 0.0000
U: 0.5000 0.5000 0.5000
Ge: 0.4071 0.4071 0.4071
Ge: 0.5929 0.5929 0.5929